Entry 1:
Computed, not measured: a geometry-optimized Rb4HgGe3Br12 structure at the PBE level of DFT.

Cell lengths 9.668, 9.668, 9.668 Å; angles 109.47, 109.47, 109.47 degrees
Fractional coordinates of all 20 atoms:
Ge  0.500  0.500  0.000
Ge  0.000  0.500  0.500
Ge  0.500  0.000  0.500
Br  0.500  0.750  0.250
Br  0.250  0.750  0.500
Br  0.000  0.746  0.746
Br  0.254  0.000  0.254
Br  0.750  0.250  0.500
Br  0.746  0.746  0.000
Br  0.746  0.000  0.746
Br  0.000  0.254  0.254
Br  0.500  0.250  0.750
Br  0.250  0.500  0.750
Br  0.254  0.254  0.000
Br  0.750  0.500  0.250
Hg  0.000  0.000  0.000
Rb  0.500  0.500  0.500
Rb  0.000  0.500  0.000
Rb  0.500  0.000  0.000
Rb  0.000  0.000  0.500

Computed properties:
The value obtained for the energy relative to the elements, uncorrected is -23.6 kcal/mol of atoms. The space group is Im-3m (229).

***

Entry 2:
Computed, not measured: a geometry-optimized Rb2HgGeBr6 structure at the PBE level of DFT.

Cell lengths 7.994, 7.996, 9.082 Å; angles 63.89, 63.88, 60.03 degrees
Fractional coordinates of all 10 atoms:
Br  0.060  0.516  0.735
Br  0.516  0.687  0.737
Br  0.688  0.060  0.735
Br  0.185  0.974  0.234
Br  0.608  0.185  0.234
Br  0.974  0.608  0.233
Ge  0.808  0.808  0.574
Hg  0.262  0.263  0.213
Rb  0.523  0.523  0.431
Rb  0.037  0.038  0.889

Computed properties:
The value obtained for the energy relative to the elements, uncorrected is -23.3 kcal/mol of atoms. The space group is P1 (1).

***

Entry 3:
Computed, not measured: a geometry-optimized Rb2HgGeBr6 structure at the PBE level of DFT.

Cell lengths 7.917, 7.917, 7.924 Å; angles 60.03, 60.03, 90.00 degrees
Fractional coordinates of all 10 atoms:
Br  0.746  0.746  0.000
Br  0.746  0.254  0.000
Br  0.746  0.746  0.508
Br  0.254  0.254  0.000
Br  0.254  0.254  0.492
Br  0.254  0.746  0.000
Rb  0.750  0.250  0.500
Rb  0.250  0.750  0.500
Hg  0.000  0.000  0.000
Ge  0.500  0.500  0.000

Computed properties:
The value obtained for the energy relative to the elements, uncorrected is -22.9 kcal/mol of atoms. The space group is I4/mmm (139).

***

Entry 4:
Computed, not measured: a geometry-optimized ReHgGe2Br structure at the PBE level of DFT.

Cell lengths 5.116, 5.579, 5.116 Å; angles 90.00, 90.00, 90.00 degrees
Fractional coordinates of all 5 atoms:
Br  0.000  0.000  0.000
Ge  0.000  0.000  0.500
Ge  0.500  0.000  0.000
Hg  0.000  0.500  0.000
Re  0.500  0.500  0.500

Computed properties:
The value obtained for the energy relative to the elements, uncorrected is 43.4 kcal/mol of atoms. The space group is P4/mmm (123).

***

Entry 5:
Computed, not measured: a geometry-optimized SnHgGeBr2 structure at the PBE level of DFT.

Cell lengths 5.535, 5.317, 5.535 Å; angles 90.00, 90.00, 90.00 degrees
Fractional coordinates of all 5 atoms:
Br  0.000  0.000  0.500
Br  0.500  0.000  0.000
Ge  0.000  0.500  0.000
Sn  0.500  0.500  0.500
Hg  0.000  0.000  0.000

Computed properties:
The value obtained for the energy relative to the elements, uncorrected is 8.6 kcal/mol of atoms. The space group is P4/mmm (123).

***

Entry 6:
Computed, not measured: a geometry-optimized Tl2HgGeBr6 structure at the PBE level of DFT.

Cell lengths 7.846, 7.852, 8.825 Å; angles 63.56, 63.63, 59.98 degrees
Fractional coordinates of all 10 atoms:
Br  0.611  0.205  0.226
Br  0.501  0.704  0.734
Br  0.061  0.501  0.735
Br  0.704  0.060  0.735
Br  0.958  0.611  0.227
Br  0.205  0.959  0.226
Tl  0.033  0.033  0.902
Tl  0.515  0.514  0.456
Hg  0.263  0.263  0.211
Ge  0.812  0.812  0.564

Computed properties:
The value obtained for the energy relative to the elements, uncorrected is -14.8 kcal/mol of atoms. The space group is P1 (1).

***

Entry 7:
Computed, not measured: a geometry-optimized YHgGeBr6 structure at the PBE level of DFT.

Cell lengths 7.207, 7.207, 6.917 Å; angles 90.01, 89.98, 59.99 degrees
Fractional coordinates of all 9 atoms:
Hg  0.000  0.000  0.000
Br  0.999  0.358  0.269
Br  0.998  0.644  0.731
Br  0.358  0.999  0.731
Br  0.644  0.358  0.731
Br  0.358  0.644  0.269
Br  0.644  0.998  0.269
Y  0.333  0.333  0.500
Ge  0.667  0.667  0.500

Computed properties:
The value obtained for the energy relative to the elements, uncorrected is -23.6 kcal/mol of atoms. The space group is P312 (149).

***

Entry 8:
Computed, not measured: a geometry-optimized HoGeBr2 structure at the PBE level of DFT.

Cell lengths 3.662, 3.662, 10.394 Å; angles 79.86, 79.86, 60.00 degrees
Fractional coordinates of all 4 atoms:
Br  0.089  0.089  0.734
Br  0.911  0.911  0.266
Ho  0.000  0.000  0.000
Ge  0.500  0.500  0.500

Computed properties:
The value obtained for the energy relative to the elements, uncorrected is -7.3 kcal/mol of atoms. The space group is R-3m (166).

***

Entry 9:
Computed, not measured: a geometry-optimized Ho2GeBr3 structure at the PBE level of DFT.

Cell lengths 4.050, 9.581, 10.161 Å; angles 80.53, 78.50, 77.80 degrees
Fractional coordinates of all 12 atoms:
Br  0.046  0.138  0.769
Br  0.954  0.862  0.231
Br  0.243  0.128  0.386
Br  0.757  0.872  0.614
Br  0.676  0.675  0.974
Br  0.324  0.325  0.026
Ho  0.389  0.782  0.441
Ho  0.126  0.567  0.180
Ho  0.611  0.218  0.559
Ho  0.874  0.433  0.820
Ge  0.564  0.496  0.376
Ge  0.436  0.504  0.624

Computed properties:
The value obtained for the energy relative to the elements, uncorrected is -31.3 kcal/mol of atoms. The space group is C2/m (12).

***

Entry 10:
Computed, not measured: a geometry-optimized Ho3GeBr3 structure at the PBE level of DFT.

Cell lengths 10.035, 10.035, 10.035 Å; angles 109.47, 109.47, 109.47 degrees
Fractional coordinates of all 28 atoms:
Br  0.495  0.991  0.745
Br  0.245  0.995  0.991
Br  0.491  0.745  0.995
Br  0.245  0.250  0.755
Br  0.495  0.505  0.250
Br  0.005  0.755  0.509
Br  0.255  0.745  0.250
Br  0.750  0.995  0.505
Br  0.750  0.755  0.745
Br  0.255  0.509  0.505
Br  0.005  0.250  0.995
Br  0.009  0.505  0.755
Ho  0.738  0.262  0.750
Ho  0.738  0.476  0.488
Ho  0.524  0.262  0.012
Ho  0.512  0.488  0.750
Ho  0.250  0.012  0.488
Ho  0.762  0.012  0.024
Ho  0.512  0.024  0.262
Ho  0.250  0.238  0.262
Ho  0.988  0.238  0.476
Ho  0.976  0.488  0.238
Ho  0.988  0.750  0.012
Ho  0.762  0.750  0.238
Ge  0.000  0.000  0.250
Ge  0.750  0.250  0.250
Ge  0.750  0.500  0.000
Ge  0.500  0.250  0.500

Computed properties:
The value obtained for the energy relative to the elements, uncorrected is -31.5 kcal/mol of atoms. The space group is I4_132 (214).

***

Entry 11:
Computed, not measured: a geometry-optimized Ho7GeBr12 structure at the PBE level of DFT.

Cell lengths 9.112, 9.112, 9.112 Å; angles 107.93, 107.93, 107.93 degrees
Fractional coordinates of all 20 atoms:
Ho  0.500  0.500  0.500
Ho  0.325  0.109  0.035
Ho  0.965  0.675  0.891
Ho  0.109  0.035  0.325
Ho  0.675  0.891  0.965
Ho  0.891  0.965  0.675
Ho  0.035  0.325  0.109
Br  0.688  0.228  0.077
Br  0.841  0.610  0.530
Br  0.228  0.077  0.688
Br  0.470  0.159  0.390
Br  0.390  0.470  0.159
Br  0.312  0.772  0.923
Br  0.923  0.312  0.772
Br  0.610  0.530  0.841
Br  0.159  0.390  0.470
Br  0.077  0.688  0.228
Br  0.772  0.923  0.312
Br  0.530  0.841  0.610
Ge  0.000  0.000  0.000

Computed properties:
The value obtained for the energy relative to the elements, uncorrected is -36.5 kcal/mol of atoms. The space group is R-3 (148).

***

Entry 12:
Computed, not measured: a geometry-optimized Ho4GeBr5 structure at the PBE level of DFT.

Cell lengths 4.034, 8.358, 9.238 Å; angles 102.15, 102.61, 90.00 degrees
Fractional coordinates of all 10 atoms:
Ho  0.001  0.223  0.001
Ho  0.348  0.922  0.695
Ho  0.999  0.777  0.999
Ho  0.652  0.078  0.305
Br  0.173  0.836  0.345
Br  0.167  0.328  0.334
Br  0.833  0.672  0.666
Br  0.500  0.500  0.000
Br  0.827  0.164  0.655
Ge  0.500  0.000  0.000

Computed properties:
The value obtained for the energy relative to the elements, uncorrected is -33.1 kcal/mol of atoms. The space group is C2/m (12).

***

Entry 13:
Computed, not measured: a geometry-optimized KHoGe2Br8 structure at the PBE level of DFT.

Cell lengths 7.272, 6.657, 9.220 Å; angles 89.18, 86.11, 85.57 degrees
Fractional coordinates of all 12 atoms:
Br  0.361  0.272  0.547
Br  0.639  0.728  0.453
Br  0.821  0.228  0.791
Br  0.684  0.770  0.032
Br  0.316  0.230  0.968
Br  0.860  0.267  0.222
Br  0.140  0.733  0.778
Br  0.179  0.772  0.209
Ho  0.000  0.000  0.000
Ge  0.450  0.456  0.759
Ge  0.550  0.544  0.241
K  0.000  0.000  0.500

Computed properties:
The value obtained for the energy relative to the elements, uncorrected is -26.8 kcal/mol of atoms. The space group is P-1 (2).

***

Entry 14:
Computed, not measured: a geometry-optimized RbHoGeBr6 structure at the PBE level of DFT.

Cell lengths 7.333, 7.334, 7.647 Å; angles 90.01, 90.00, 59.98 degrees
Fractional coordinates of all 9 atoms:
Br  0.372  0.624  0.289
Br  0.624  0.372  0.711
Br  0.372  0.004  0.711
Br  0.625  0.003  0.289
Br  0.003  0.625  0.711
Br  0.003  0.372  0.289
Rb  0.000  0.000  0.000
Ge  0.667  0.667  0.500
Ho  0.333  0.333  0.500

Computed properties:
The value obtained for the energy relative to the elements, uncorrected is -33.2 kcal/mol of atoms. The space group is P312 (149).

***

Entry 15:
Computed, not measured: a geometry-optimized GeI3Br4 structure at the PBE level of DFT.

Cell lengths 6.516, 11.805, 11.162 Å; angles 90.00, 89.26, 90.00 degrees
Fractional coordinates of all 16 atoms:
I  0.936  0.748  0.499
I  0.937  0.500  0.498
I  0.436  0.000  0.501
I  0.436  0.752  0.501
I  0.436  0.248  0.501
I  0.936  0.252  0.499
Ge  0.035  0.000  0.965
Ge  0.535  0.500  0.035
Br  0.468  0.500  0.832
Br  0.395  0.660  0.122
Br  0.899  0.160  0.878
Br  0.395  0.340  0.122
Br  0.884  0.500  0.064
Br  0.385  0.000  0.936
Br  0.899  0.840  0.878
Br  0.959  0.000  0.168

Computed properties:
The value obtained for the energy relative to the elements, uncorrected is -8.2 kcal/mol of atoms. The space group is Pm (6).

***

Entry 16:
Computed, not measured: a geometry-optimized GeIBr2 structure at the PBE level of DFT.

Cell lengths 8.231, 8.231, 8.146 Å; angles 59.65, 59.65, 90.00 degrees
Fractional coordinates of all 8 atoms:
I  0.000  0.000  0.000
I  0.750  0.250  0.500
Ge  0.250  0.750  0.500
Ge  0.500  0.500  0.000
Br  0.465  0.125  0.250
Br  0.375  0.535  0.750
Br  0.875  0.715  0.750
Br  0.285  0.625  0.250

Computed properties:
The value obtained for the energy relative to the elements, uncorrected is -1.3 kcal/mol of atoms. The space group is I-42d (122).

***

Entry 17:
Computed, not measured: a geometry-optimized Ge3IBr5 structure at the PBE level of DFT.

Cell lengths 8.075, 8.075, 11.085 Å; angles 67.67, 67.67, 72.16 degrees
Fractional coordinates of all 18 atoms:
Ge  0.000  0.000  0.000
Ge  0.330  0.330  0.683
Ge  0.670  0.670  0.317
Ge  0.655  0.655  0.817
Ge  0.345  0.345  0.183
Ge  0.000  0.000  0.500
Br  0.569  0.569  0.652
Br  0.702  0.298  0.000
Br  0.365  0.965  0.333
Br  0.235  0.235  0.945
Br  0.965  0.365  0.333
Br  0.635  0.035  0.667
Br  0.298  0.702  0.000
Br  0.035  0.635  0.667
Br  0.765  0.765  0.055
Br  0.431  0.431  0.348
I  0.900  0.900  0.304
I  0.100  0.100  0.696

Computed properties:
The value obtained for the energy relative to the elements, uncorrected is -10.9 kcal/mol of atoms. The space group is C2/m (12).

***

Entry 18:
Computed, not measured: a geometry-optimized Ge2IBr structure at the PBE level of DFT.

Cell lengths 8.116, 8.116, 6.710 Å; angles 52.79, 52.79, 90.00 degrees
Fractional coordinates of all 8 atoms:
Ge  0.375  0.385  0.750
Ge  0.615  0.125  0.250
Ge  0.875  0.865  0.750
Ge  0.135  0.625  0.250
I  0.750  0.250  0.500
I  0.000  0.000  0.000
Br  0.500  0.500  0.000
Br  0.250  0.750  0.500

Computed properties:
The value obtained for the energy relative to the elements, uncorrected is 5.4 kcal/mol of atoms. The space group is I-42d (122).

***

Entry 19:
Computed, not measured: a geometry-optimized GeI4Br structure at the PBE level of DFT.

Cell lengths 12.214, 11.385, 9.946 Å; angles 90.00, 90.00, 100.73 degrees
Fractional coordinates of all 24 atoms:
I  0.430  0.299  0.045
I  0.258  0.631  0.749
I  0.570  0.701  0.955
I  0.758  0.131  0.751
I  0.070  0.201  0.545
I  0.569  0.701  0.542
I  0.931  0.799  0.042
I  0.947  0.477  0.751
I  0.242  0.869  0.249
I  0.431  0.299  0.458
I  0.930  0.799  0.455
I  0.742  0.369  0.251
I  0.069  0.201  0.958
I  0.447  0.977  0.749
I  0.553  0.023  0.251
I  0.053  0.523  0.249
Ge  0.546  0.245  0.251
Ge  0.954  0.255  0.751
Ge  0.454  0.755  0.749
Ge  0.046  0.745  0.249
Br  0.055  0.208  0.252
Br  0.555  0.708  0.248
Br  0.445  0.292  0.752
Br  0.945  0.792  0.748

Computed properties:
The value obtained for the energy relative to the elements, uncorrected is -3.6 kcal/mol of atoms. The space group is P2_1/c (14).

***

Entry 20:
Computed, not measured: a geometry-optimized Ge2I3Br structure at the PBE level of DFT.

Cell lengths 4.289, 8.344, 15.608 Å; angles 104.75, 97.90, 90.00 degrees
Fractional coordinates of all 12 atoms:
Ge  0.311  0.704  0.621
Ge  0.063  0.177  0.125
Ge  0.689  0.296  0.379
Ge  0.937  0.823  0.875
I  0.248  0.248  0.496
I  0.022  0.791  0.044
I  0.407  0.576  0.815
I  0.752  0.752  0.504
I  0.978  0.209  0.956
I  0.593  0.424  0.185
Br  0.640  0.017  0.279
Br  0.360  0.983  0.721

Computed properties:
The value obtained for the energy relative to the elements, uncorrected is -6.7 kcal/mol of atoms. The space group is C2/m (12).